In3RhN | meta-GGA SCAN | PBEsol geometry

The calculation puts the formation energy from raw total energies at 12.820 kcal/mol of atoms.

The space group is Pm-3m (No. 221) and the conventional cell measures 4.4606, 4.4606 and 4.4606 Å, with angles of 90.00, 90.00 and 90.00 degrees. The distinct sites, in fractional coordinates, are In at (0.0000, 0.0000, 0.5000), Rh at (0.5000, 0.5000, 0.5000) and N at (0.0000, 0.0000, 0.0000).


CdSeN2O | meta-GGA SCAN | PBEsol geometry

The calculation puts the formation energy from raw total energies at 41.474 kcal/mol of atoms.

The space group is P4/mmm (No. 123) and the conventional cell measures 3.9884, 3.9884 and 3.9535 Å, with angles of 90.00, 90.00 and 90.00 degrees. The distinct sites, in fractional coordinates, are Cd at (0.0000, 0.0000, 0.0000), Se at (0.5000, 0.5000, 0.0000), N at (0.0000, 0.5000, 0.5000) and O at (0.5000, 0.5000, 0.5000).


La2InP | meta-GGA SCAN | PBEsol geometry

The energy relative to the elements is -1.125 eV/atom.

The space group is R-3m (No. 166, hexagonal axes) and the conventional cell measures 4.1148, 4.1148 and 24.3828 Å, with angles of 90.00, 90.00 and 120.00 degrees. The distinct sites, in fractional coordinates, are La at (0.0000, 0.0000, 0.2361), In at (0.0000, 0.0000, 0.0000) and P at (0.0000, 0.0000, 0.5000).


P3W | meta-GGA SCAN | PBEsol geometry

The energy relative to the elements is -0.117 eV/atom. As for the distance to the lowest polymorph of the same formula: 0 meV/atom.

The space group is Imm2 (No. 44) and the conventional cell measures 3.2454, 7.4844 and 4.8595 Å, with angles of 90.00, 90.00 and 90.00 degrees. The distinct sites, in fractional coordinates, are P at (0.0000, 0.0000, 0.0000), P at (0.0000, 0.1884, 0.6634) and W at (0.0000, 0.5000, 0.8679).


KHgIr | meta-GGA SCAN | PBEsol geometry

The energy relative to the elements is 0.504 eV/atom. As for the distance to the lowest polymorph of the same formula: 0 meV/atom.

The space group is I4mm (No. 107) and the conventional cell measures 3.6471, 3.6471 and 11.5362 Å, with angles of 90.00, 90.00 and 90.00 degrees. The distinct sites, in fractional coordinates, are K at (0.0000, 0.0000, 0.0000), Hg at (0.0000, 0.0000, 0.7263) and Ir at (0.0000, 0.0000, 0.2750).


NaRe3Br | meta-GGA SCAN | PBEsol geometry

The calculation puts the formation energy from raw total energies at 86.103 kcal/mol of atoms.

The space group is Pm-3m (No. 221) and the conventional cell measures 4.5604, 4.5604 and 4.5604 Å, with angles of 90.00, 90.00 and 90.00 degrees. The distinct sites, in fractional coordinates, are Na at (0.0000, 0.0000, 0.0000), Re at (0.0000, 0.0000, 0.5000) and Br at (0.5000, 0.5000, 0.5000).


MgAl3Pd | meta-GGA SCAN | PBEsol geometry

The energy relative to the elements is -0.089 eV/atom.

The space group is Pm-3m (No. 221) and the conventional cell measures 4.7398, 4.7398 and 4.7398 Å, with angles of 90.00, 90.00 and 90.00 degrees. The distinct sites, in fractional coordinates, are Mg at (0.0000, 0.0000, 0.0000), Al at (0.0000, 0.5000, 0.5000) and Pd at (0.5000, 0.5000, 0.5000).


SrNiP2 | meta-GGA SCAN | PBEsol geometry

The energy relative to the elements is -0.649 eV/atom.

The space group is Pm (No. 6) and the conventional cell measures 4.2005, 4.0428 and 4.6885 Å, with angles of 90.00, 92.75 and 90.00 degrees. The distinct sites, in fractional coordinates, are Sr at (0.0000, 0.0000, 0.0000), Ni at (0.6463, 0.5000, 0.4049), P at (0.1461, 0.5000, 0.5104) and P at (0.4729, 0.0000, 0.5360).


CuOsC3 | meta-GGA SCAN | PBEsol geometry

The energy relative to the elements is 2.153 eV/atom.

The space group is Pm-3m (No. 221) and the conventional cell measures 3.9444, 3.9444 and 3.9444 Å, with angles of 90.00, 90.00 and 90.00 degrees. The distinct sites, in fractional coordinates, are Cu at (0.0000, 0.0000, 0.0000), Os at (0.5000, 0.5000, 0.5000) and C at (0.0000, 0.5000, 0.5000).


In2BiAs | meta-GGA SCAN | PBEsol geometry

The energy relative to the elements is -0.153 eV/atom.

The space group is I-42d (No. 122) and the conventional cell measures 6.4094, 6.4094 and 12.6976 Å, with angles of 90.00, 90.00 and 90.00 degrees. The distinct sites, in fractional coordinates, are In at (0.2181, 0.2500, 0.1250), Bi at (0.0000, 0.0000, 0.5000) and As at (0.0000, 0.0000, 0.0000).


SrTiS2 | meta-GGA SCAN | PBEsol geometry

The calculation puts the formation energy from raw total energies at -28.864 kcal/mol of atoms.

The space group is R-3m (No. 166, hexagonal axes) and the conventional cell measures 3.5995, 3.5995 and 25.2546 Å, with angles of 90.00, 90.00 and 120.00 degrees. The distinct sites, in fractional coordinates, are Sr at (0.0000, 0.0000, 0.0000), Ti at (0.0000, 0.0000, 0.5000) and S at (0.0000, 0.0000, 0.1130).


MgZn4Cd | meta-GGA SCAN | PBEsol geometry

The energy relative to the elements is -0.090 eV/atom.

The space group is F-43m (No. 216) and the conventional cell measures 7.2860, 7.2860 and 7.2860 Å, with angles of 90.00, 90.00 and 90.00 degrees. The distinct sites, in fractional coordinates, are Mg at (0.0000, 0.0000, 0.0000), Zn at (0.1254, 0.1254, 0.3746) and Cd at (0.2500, 0.2500, 0.7500).


no.,theoretical density (Mg/m³),total energy (eV per cell)
1,8.632,-140.44
2,6.215,-66.31
3,5.902,-403.49
4,7.787,-202.70
5,9.348,-292.17
6,11.582,-218.30
7,3.301,-61.45
8,4.348,-61.84
9,7.842,-106.61
10,6.539,-664.61
11,3.509,-187.70
12,6.841,-359.95